Compound: BaSiHg2Au
Source: the Alexandria database
Functional: PBE-GGA
Structure: relaxed

Cell lengths 5.345, 5.345, 4.918 Å; angles 90.00, 90.00, 90.00 degrees
Fractional coordinates of all 5 atoms:
Si 0.000 0.000 0.000
Au 0.000 0.000 0.500
Hg 0.000 0.500 0.000
Hg 0.500 0.000 0.000
Ba 0.500 0.500 0.500

Computed properties:
Its magnetization is 0.0 μB per formula unit. Its space group is No. 123. The total energy is -12.32 eV per cell. The uncorrected formation energy comes out at -0.219 eV per atom. As for the density: 9.0 g/cm3.

=====

Compound: Ba2SnHgAu6
Source: the Alexandria database
Functional: PBE-GGA
Structure: relaxed

Cell lengths 7.352, 7.667, 7.670 Å; angles 43.44, 80.94, 97.34 degrees
Fractional coordinates of all 10 atoms:
Ba 0.717 0.255 0.538
Ba 0.283 0.745 0.462
Sn 0.500 0.500 0.000
Hg 0.000 0.000 0.000
Au 0.251 0.247 0.497
Au 0.912 0.752 0.840
Au 0.252 0.750 0.994
Au 0.748 0.250 0.006
Au 0.088 0.248 0.160
Au 0.749 0.753 0.503

Computed properties:
Its magnetization is 0.0 μB per formula unit. The formation energy from the elements is -443 meV per atom. Its space group is No. 12. The total energy is -32.25 eV per cell. As for the density: 10.8 g/cm3.

=====

Compound: Ba2SnHg6Au
Source: the Alexandria database
Functional: PBE-GGA
Structure: relaxed

Cell lengths 8.148, 7.818, 9.938 Å; angles 90.00, 90.00, 90.00 degrees
Fractional coordinates of all 20 atoms:
Ba 0.500 0.751 0.269
Ba 0.000 0.249 0.769
Ba 0.500 0.751 0.731
Ba 0.000 0.249 0.231
Sn 0.000 0.561 0.500
Sn 0.500 0.439 0.000
Hg 0.500 0.237 0.245
Hg 0.500 0.237 0.755
Hg 0.000 0.763 0.255
Hg 0.000 0.763 0.745
Hg 0.177 0.963 0.500
Hg 0.823 0.963 0.500
Hg 0.320 0.415 0.500
Hg 0.680 0.415 0.500
Hg 0.820 0.585 0.000
Hg 0.180 0.585 0.000
Hg 0.323 0.037 0.000
Hg 0.677 0.037 0.000
Au 0.500 0.065 0.500
Au 0.000 0.935 0.000

Computed properties:
Its magnetization is 0.0 μB per formula unit. The formation energy from the elements is -293 meV per atom. Its space group is No. 59. The total energy is -31.73 eV per cell. As for the density: 9.4 g/cm3.

=====

Compound: Ba3Sr3Hg2Au
Source: the Alexandria database
Functional: PBE-GGA
Structure: relaxed

Cell lengths 4.709, 9.548, 9.548 Å; angles 120.00, 90.00, 90.00 degrees
Fractional coordinates of all 9 atoms:
Ba 0.000 0.586 0.586
Ba 0.000 0.000 0.414
Ba 0.000 0.414 0.000
Sr 0.500 0.760 0.000
Sr 0.500 0.000 0.760
Sr 0.500 0.240 0.240
Hg 0.500 0.667 0.333
Hg 0.500 0.333 0.667
Au 0.000 0.000 0.000

Computed properties:
Its magnetization is 0.0 μB per formula unit. The formation energy from the elements is -400 meV per atom. Its space group is No. 189. The total energy is -18.30 eV per cell. As for the density: 5.7 g/cm3.

=====

Compound: Ba2TlHg4Au3
Source: the Alexandria database
Functional: PBE-GGA
Structure: relaxed

Cell lengths 4.705, 4.705, 12.851 Å; angles 90.00, 90.00, 90.00 degrees
Fractional coordinates of all 10 atoms:
Ba 0.500 0.000 0.240
Ba 0.000 0.500 0.760
Tl 0.500 0.500 0.500
Hg 0.500 0.500 0.000
Hg 0.000 0.000 0.000
Hg 0.500 0.000 0.644
Hg 0.000 0.500 0.356
Au 0.000 0.000 0.500
Au 0.500 0.000 0.862
Au 0.000 0.500 0.138

Computed properties:
Its magnetization is 0.0 μB per formula unit. The formation energy from the elements is -395 meV per atom. Its space group is No. 115. The total energy is -21.20 eV per cell. As for the density: 10.9 g/cm3.

=====

Compound: BaTl2Hg2Au2
Source: the Alexandria database
Functional: PBE-GGA
Structure: relaxed

Cell lengths 4.994, 4.994, 9.809 Å; angles 75.25, 75.25, 60.00 degrees
Fractional coordinates of all 7 atoms:
Ba 0.000 0.000 0.000
Tl 0.135 0.135 0.596
Tl 0.865 0.865 0.404
Hg 0.744 0.744 0.768
Hg 0.256 0.256 0.232
Au 0.592 0.592 0.223
Au 0.408 0.408 0.777

Computed properties:
Its magnetization is 0.0 μB per formula unit. The formation energy from the elements is -274 meV per atom. Its space group is No. 166. The total energy is -15.73 eV per cell. As for the density: 11.0 g/cm3.